(1)
Entry from OQMD: MgTlNiPd after structural relaxation (GGA-PBE).

Cell: 4.549 4.549 4.549 Å, 60.00 60.00 60.00°
Fractional positions:
Ni1 0.750 0.750 0.750
Tl1 0.000 0.000 0.000
Pd1 0.250 0.250 0.250
Mg1 0.500 0.500 0.500

## Properties
- Space group: F-43m, No. 216
- Final energy: -3.87 eV/atom
- Polymorph energy (0 for the lowest one): 0 meV per atom


(2)
Entry from OQMD: NbAgAsO after structural relaxation (GGA-PBE).

Cell: 3.674 3.674 9.161 Å, 90.00 90.00 90.00°
Fractional positions:
Nb1 0.750 0.750 0.871
Nb2 0.250 0.250 0.129
Ag1 0.750 0.250 0.500
Ag2 0.250 0.750 0.500
O1 0.250 0.750 0.000
O2 0.750 0.250 0.000
As1 0.250 0.250 0.733
As2 0.750 0.750 0.267

## Properties
- Space group: P4/nmm, No. 129
- Final energy: -6.36 eV/atom
- Polymorph energy (0 for the lowest one): 5 meV per atom


(3)
Entry from OQMD: Be2NiIr after structural relaxation (GGA-PBE).

Cell: 3.933 3.933 3.933 Å, 60.00 60.00 60.00°
Fractional positions:
Ni1 0.000 0.000 0.000
Ir1 0.250 0.250 0.250
Be1 0.500 0.500 0.500
Be2 0.750 0.750 0.750

## Properties
- Space group: F-43m, No. 216
- Final energy: -5.64 eV/atom
- Polymorph energy (0 for the lowest one): 416 meV per atom